The following is a GGA-PBE calculation of a relaxed structure of Ba3Na2Li7, from the Alexandria database.

Lattice parameters (Å, degrees): 6.686 6.686 11.257 72.72 72.72 60.00
Fractional coordinates of all 12 atoms:
Ba 0.000 0.000 0.000
Ba 0.858 0.858 0.427
Ba 0.142 0.142 0.573
Na 0.668 0.668 0.995
Na 0.332 0.332 0.005
Li 0.500 0.500 0.500
Li 0.911 0.418 0.254
Li 0.418 0.911 0.254
Li 0.418 0.418 0.254
Li 0.089 0.582 0.746
Li 0.582 0.582 0.746
Li 0.582 0.089 0.746

Calculated formation energy = 0.04 eV/atom
Uncorrected energy = -1.7791 eV per atom
Spin magnetization = 0.00 μB/f.u.
Space group = No. 166



The following is a GGA-PBE calculation of a relaxed structure of TaCd2Cl, from the Alexandria database.

Lattice parameters (Å, degrees): 4.619 3.013 5.972 76.18 90.00 90.00
Fractional coordinates of all 4 atoms:
Cl 0.000 0.664 0.542
Cd 0.000 0.951 0.987
Cd 0.500 0.307 0.248
Ta 0.500 0.579 0.722

Relative energy among the computed polymorphs = 158 meV/atom
Uncorrected formation energy = 0.121 eV/atom
Uncorrected energy = -3.7609 eV per atom
Spin magnetization = 0.00 μB/f.u.
Space group = No. 6



The following is a GGA-PBE calculation of a relaxed structure of Pm2CdHg2, from the Alexandria database.

Lattice parameters (Å, degrees): 5.260 5.260 6.421 90.00 90.00 120.00
Fractional coordinates of all 5 atoms:
Pm 0.333 0.667 0.193
Pm 0.667 0.333 0.807
Cd 0.000 0.000 0.000
Hg 0.333 0.667 0.685
Hg 0.667 0.333 0.315

Relative energy among the computed polymorphs = 134 meV/atom
Calculated formation energy = -0.24 eV/atom
Uncorrected energy = -2.4392 eV per atom
Spin magnetization = 0.00 μB/f.u.
Space group = No. 164



The following is a GGA-PBE calculation of a relaxed structure of AcLa2CoBi, from the Alexandria database.

Lattice parameters (Å, degrees): 5.640 5.316 5.316 90.00 90.00 90.00
Fractional coordinates of all 5 atoms:
Ac 0.500 0.000 0.000
La 0.000 0.000 0.500
La 0.000 0.500 0.000
Co 0.000 0.000 0.000
Bi 0.500 0.500 0.500

Calculated formation energy = -0.45 eV/atom
Uncorrected energy = -5.4380 eV per atom
Spin magnetization = 0.00 μB/f.u.
Space group = No. 123



The following is a GGA-PBE calculation of a relaxed structure of LaHoTh, from the Alexandria database.

Lattice parameters (Å, degrees): 11.394 7.084 5.677 90.00 119.78 90.00
Fractional coordinates of all 12 atoms:
La 0.836 0.000 0.335
La 0.336 0.500 0.335
La 0.664 0.500 0.665
La 0.164 0.000 0.665
Ho 0.835 0.500 0.336
Ho 0.335 0.000 0.336
Ho 0.665 0.000 0.664
Ho 0.165 0.500 0.664
Th 0.000 0.742 0.000
Th 0.500 0.758 0.000
Th 0.500 0.242 0.000
Th 0.000 0.258 0.000

Relative energy among the computed polymorphs = 48 meV/atom
Calculated formation energy = 0.08 eV/atom
Uncorrected energy = -5.5641 eV per atom
Spin magnetization = 0.00 μB/f.u.
Space group = No. 12



The following is a GGA-PBE calculation of a relaxed structure of ZrReSbBr2, from the Alexandria database.

Lattice parameters (Å, degrees): 5.410 5.862 5.410 90.00 90.00 90.00
Fractional coordinates of all 5 atoms:
Re 0.500 0.500 0.500
Br 0.000 0.000 0.500
Br 0.500 0.000 0.000
Zr 0.000 0.500 0.000
Sb 0.000 0.000 0.000

Uncorrected formation energy = 1.516 eV/atom
Uncorrected energy = -4.1766 eV per atom
Spin magnetization = 2.55 μB/f.u.
Space group = No. 123